Record 1
DFT (PBE) results for crystalline Sc2PtSe at its relaxed geometry.

```
Sc2PtSe
1.0
-2.194 7.663 -0.471
0.500 7.546 2.564
1.784 7.676 -1.286
Sc Se Pt
2 1 1
Direct
0.892 0.892 0.892
0.108 0.108 0.108
0.000 0.000 0.000
0.500 0.500 0.500
```

Summary:
Symmetry   R-3m, No. 166
Electronic total energy   -25.7 eV per cell

***

Record 2
DFT (PBE) results for crystalline ScPt4Se at its relaxed geometry.

```
ScPt4Se
1.0
-1.797 -4.971 -0.701
-5.230 -0.894 -0.525
-1.992 -1.473 -4.721
Sc Pt Se
1 4 1
Direct
0.750 0.750 0.750
0.874 0.375 0.375
0.375 0.375 0.874
0.375 0.874 0.375
0.375 0.375 0.375
0.000 0.000 0.000
```

Summary:
Symmetry   F-43m, No. 216
Electronic total energy   -36.2 eV per cell

***

Record 3
DFT (PBE) results for crystalline Sc2PtSe at its relaxed geometry.

```
Sc2PtSe
1.0
7.491 0.000 -0.001
-3.030 3.698 -0.004
1.430 1.191 2.714
Pt Sc Se
1 2 1
Direct
0.500 0.500 0.000
0.000 0.000 0.000
0.500 0.000 0.500
0.000 0.500 0.500
```

Summary:
Symmetry   C2/m, No. 12
Electronic total energy   -26.7 eV per cell

***

Record 4
DFT (PBE) results for crystalline Sc2PtSe at its relaxed geometry.

```
Sc2PtSe
1.0
4.083 0.000 0.000
0.000 3.603 -0.640
0.000 0.069 10.852
Sc Pt Se
4 2 2
Direct
0.750 0.674 0.347
0.250 0.326 0.653
0.750 0.937 0.875
0.250 0.063 0.125
0.250 0.452 0.905
0.750 0.548 0.095
0.250 0.193 0.386
0.750 0.807 0.614
```

Summary:
Symmetry   Cmcm, No. 63
Electronic total energy   -55.6 eV per cell

***

Record 5
DFT (PBE) results for crystalline Sc2PtSe at its relaxed geometry.

```
Sc2PtSe
1.0
4.765 0.000 0.000
2.382 4.127 0.000
2.382 1.376 3.891
Pt Sc Se
1 2 1
Direct
0.500 0.500 0.500
0.000 0.000 0.000
0.250 0.250 0.250
0.750 0.750 0.750
```

Summary:
Symmetry   F-43m, No. 216
Electronic total energy   -23.8 eV per cell

***

Record 6
DFT (PBE) results for crystalline Sc2PtSe at its relaxed geometry.

```
Sc2PtSe
1.0
1.989 0.000 8.493
-0.995 1.723 8.493
-0.995 -1.723 8.493
Sc Se Pt
2 1 1
Direct
0.902 0.902 0.902
0.098 0.098 0.098
0.500 0.500 0.500
0.000 0.000 0.000
```

Summary:
Symmetry   R-3m, No. 166
Electronic total energy   -24.4 eV per cell

***

Record 7
DFT (PBE) results for crystalline Sc2PtSe at its relaxed geometry.

```
Sc2PtSe
1.0
-7.050 -1.066 0.868
-4.696 -1.476 5.231
5.563 3.704 -2.635
Pt Sc Se
1 2 1
Direct
0.205 0.705 0.500
0.050 0.050 0.000
0.789 0.289 0.500
0.457 0.457 0.000
```

Summary:
Symmetry   Imm2, No. 44
Electronic total energy   -27.0 eV per cell

***

Record 8
DFT (PBE) results for crystalline ScPtSe at its relaxed geometry.

```
ScPtSe
1.0
5.220 -0.011 0.012
4.055 3.287 0.004
1.165 0.419 3.271
Pt Sc Se
1 1 1
Direct
0.983 0.983 0.017
0.329 0.329 0.671
0.688 0.688 0.312
```

Summary:
Symmetry   I4mm, No. 107
Energy relative to the lowest polymorph listed for this composition   0.0135 eV per atom

***

Record 9
DFT (PBE) results for crystalline ScPtSe4 at its relaxed geometry.

```
ScPtSe4
1.0
0.000 3.934 3.934
3.934 0.000 3.934
3.934 3.934 0.000
Sc Pt Se
1 1 4
Direct
0.000 0.000 0.000
0.750 0.750 0.750
0.376 0.872 0.376
0.872 0.376 0.376
0.376 0.376 0.872
0.376 0.376 0.376
```

Summary:
Symmetry   F-43m, No. 216
Electronic total energy   -24.4 eV per cell

***

Record 10
DFT (PBE) results for crystalline Sc2PtSe at its relaxed geometry.

```
Sc2PtSe
1.0
-2.254 -8.201 -1.341
1.416 -8.430 -1.034
-0.687 -8.347 1.996
Pt Sc Se
1 2 1
Direct
0.745 0.745 0.745
0.021 0.021 0.021
0.231 0.231 0.231
0.504 0.504 0.504
```

Summary:
Symmetry   R3m, No. 160
Electronic total energy   -25.0 eV per cell

***

Record 11
DFT (PBE) results for crystalline Sc4PtSe3 at its relaxed geometry.

```
Sc4PtSe3
1.0
6.620 0.038 0.000
-2.286 6.450 0.000
0.000 0.000 7.785
Sc Se Pt
8 6 2
Direct
0.990 0.239 0.641
0.504 0.241 0.877
0.490 0.239 0.359
0.004 0.241 0.123
0.996 0.759 0.877
0.510 0.761 0.641
0.496 0.759 0.123
0.010 0.761 0.359
0.750 0.000 0.381
0.250 0.000 0.619
0.750 0.500 0.614
0.750 0.500 0.126
0.250 0.500 0.386
0.250 0.500 0.874
0.750 0.000 0.883
0.250 0.000 0.117
```

Summary:
Symmetry   P2/c, No. 13
Electronic total energy   -107.4 eV per cell

***

Record 12
DFT (PBE) results for crystalline Sc2PtSe at its relaxed geometry.

```
Sc2PtSe
1.0
-4.067 -0.327 -3.745
-3.760 -3.521 -2.033
-2.693 1.251 2.817
Pt Sc Se
1 2 1
Direct
0.271 0.271 0.125
0.016 0.016 0.125
0.739 0.739 0.625
0.473 0.473 0.625
```

Summary:
Symmetry   Amm2, No. 38
Electronic total energy   -27.1 eV per cell

***

Record 13
DFT (PBE) results for crystalline ScPtSe at its relaxed geometry.

```
ScPtSe
1.0
-0.238 -3.087 -1.444
2.989 1.071 1.260
-1.410 -2.416 5.399
Pt Sc Se
1 1 1
Direct
0.000 0.000 0.033
0.333 0.667 0.328
0.667 0.333 0.639
```

Summary:
Symmetry   P3m1, No. 156
Energy relative to the lowest polymorph listed for this composition   0.2219 eV per atom

***

Record 14
DFT (PBE) results for crystalline ScSnPt2Se at its relaxed geometry.

```
ScSnPt2Se
1.0
4.912 0.000 0.000
0.000 4.912 0.000
0.000 0.000 5.453
Sc Se Sn Pt
1 1 1 2
Direct
0.000 0.000 0.500
0.500 0.500 0.500
0.000 0.000 0.000
0.000 0.500 0.000
0.500 0.000 0.000
```

Summary:
Symmetry   P4/mmm, No. 123
Electronic total energy   -23.2 eV per cell

***

Record 15
DFT (PBE) results for crystalline ScTaPt2Se at its relaxed geometry.

```
ScTaPt2Se
1.0
4.943 0.000 0.000
0.000 4.829 0.000
0.000 0.000 4.943
Sc Se Pt Ta
1 1 2 1
Direct
0.500 0.500 0.500
0.000 0.500 0.000
0.000 0.000 0.500
0.500 0.000 0.000
0.000 0.000 0.000
```

Summary:
Symmetry   P4/mmm, No. 123
Electronic total energy   -33.5 eV per cell

***

Record 16
DFT (PBE) results for crystalline ScSi2Pt at its relaxed geometry.

```
ScSi2Pt
1.0
4.169 0.000 0.000
0.000 4.169 0.000
2.084 2.084 8.520
Sc Si Pt
2 4 2
Direct
0.500 0.500 0.000
0.250 0.750 0.500
0.712 0.125 0.250
0.038 0.625 0.250
0.375 0.288 0.750
0.875 0.962 0.750
0.000 0.000 0.000
0.750 0.250 0.500
```

Summary:
Symmetry   I-42d, No. 122
Electronic total energy   -50.1 eV per cell

***

Record 17
DFT (PBE) results for crystalline Sc2Si2Pt3 at its relaxed geometry.

```
Sc2Si2Pt3
1.0
4.065 0.000 0.000
0.000 6.416 0.000
0.000 0.000 8.733
Sc Si Pt
4 4 6
Direct
0.000 0.890 0.330
0.000 0.110 0.670
0.000 0.390 0.170
0.000 0.610 0.830
0.500 0.575 0.350
0.500 0.425 0.650
0.500 0.075 0.150
0.500 0.925 0.850
0.500 0.690 0.087
0.500 0.310 0.913
0.500 0.190 0.413
0.500 0.810 0.587
0.000 0.500 0.500
0.000 0.000 0.000
```

Summary:
Symmetry   Pbam, No. 55
Electronic total energy   -100.1 eV per cell

***

Record 18
DFT (PBE) results for crystalline ScSi2Pt at its relaxed geometry.

```
ScSi2Pt
1.0
-3.803 -0.651 1.319
0.286 -2.977 -0.645
1.818 -0.867 4.816
Pt Sc Si
1 1 2
Direct
0.500 0.250 0.250
0.500 0.750 0.750
0.000 0.250 0.992
0.000 0.250 0.508
```

Summary:
Symmetry   Pmmm, No. 47
Electronic total energy   -26.2 eV per cell

***

Record 19
DFT (PBE) results for crystalline ScSi3Pt at its relaxed geometry.

```
ScSi3Pt
1.0
-1.882 -2.813 3.323
-0.469 -3.469 -3.201
4.329 -1.599 1.098
Sc Si Pt
1 3 1
Direct
0.500 0.500 0.500
0.000 0.500 0.000
0.000 0.000 0.500
0.500 0.000 0.000
0.000 0.000 0.000
```

Summary:
Symmetry   Pm-3m, No. 221
Electronic total energy   -26.7 eV per cell

***

Record 20
DFT (PBE) results for crystalline Sc5Si7Pt9 at its relaxed geometry.

```
Sc5Si7Pt9
1.0
10.014 0.000 0.000
-5.007 8.672 0.000
0.000 0.000 3.912
Sc Si Pt
5 7 9
Direct
0.000 0.000 0.000
0.333 0.667 0.500
0.896 0.459 0.500
0.562 0.104 0.500
0.541 0.438 0.500
0.240 0.190 0.500
0.810 0.050 0.500
0.950 0.760 0.500
0.553 0.648 0.000
0.352 0.906 0.000
0.094 0.447 0.000
0.667 0.333 0.000
0.217 0.936 0.500
0.064 0.282 0.500
0.718 0.783 0.500
0.315 0.416 0.000
0.584 0.899 0.000
0.101 0.685 0.000
0.383 0.172 0.000
0.828 0.211 0.000
0.789 0.617 0.000
```

Summary:
Symmetry   P-6, No. 174
Electronic total energy   -147.6 eV per cell

***

| no. | total magnetization (μB/f.u.) |
| --- | --- |
| 1 | 0.0 |
| 2 | 0.0 |
| 3 | 0.0 |
| 4 | 0.0 |
| 5 | 1.4 |
| 6 | 0.0 |
| 7 | 0.0 |
| 8 | 0.0 |
| 9 | 0.0 |
| 10 | 0.0 |
| 11 | 0.0 |
| 12 | 0.0 |
| 13 | 0.0 |
| 14 | 0.0 |
| 15 | 0.0 |
| 16 | 0.0 |
| 17 | 0.0 |
| 18 | 0.0 |
| 19 | 0.0 |
| 20 | 0.0 |